Entry 1:
Density functional theory data (GGA-PBE) for an optimized crystal structure of Ac4In12Au.

Output
V: 28.6 Å³ per atom
crystal system: cubic
space group: No. 229
energy of formation: -685.0 kJ/mol of formula units

```
17
Lattice="8.090 0.000 -2.860 -4.045 7.006 -2.860 0.000 0.000 8.580" Properties=species:S:1:pos:R:3 pbc="T T T"
Ac 0.000 0.000 4.290
Ac 4.045 0.000 -1.430
Ac 2.022 3.503 1.430
Ac -2.022 3.503 -1.430
In -1.182 2.048 1.672
In -2.863 4.958 4.048
In 2.863 4.958 -4.048
In 1.182 2.048 -1.672
In 2.365 0.000 1.672
In 5.725 0.000 4.048
In 3.034 1.751 4.290
In 1.011 5.254 -1.430
In 5.056 1.751 1.430
In -1.011 5.254 1.430
In 4.045 3.503 -1.430
In 0.000 3.503 4.290
Au 0.000 0.000 0.000
```

Entry 2:
Density functional theory data (GGA-PBE) for an optimized crystal structure of Ac3In2Au7.

Output
V: 26.5 Å³ per atom
crystal system: tetragonal
space group: No. 139
energy of formation: -576.1 kJ/mol of formula units

```
12
Lattice="4.565 0.000 0.000 0.000 4.565 0.000 -2.282 -2.282 15.268" Properties=species:S:1:pos:R:3 pbc="T T T"
Ac 0.000 0.000 9.782
Ac 2.282 2.282 5.486
Ac 2.282 2.282 0.000
In 0.000 0.000 3.844
In 2.282 2.282 11.423
Au 0.000 0.000 0.000
Au 2.282 0.000 12.976
Au 0.000 2.282 12.976
Au 0.000 2.282 2.291
Au 2.282 0.000 2.291
Au 0.000 0.000 6.646
Au 2.282 2.282 8.622
```

Entry 3:
Density functional theory data (GGA-PBE) for an optimized crystal structure of Ac7In2Au2.

Output
V: 37.5 Å³ per atom
crystal system: orthorhombic
space group: No. 44
energy of formation: -445.9 kJ/mol of formula units
excess energy over the best structure of this formula in the dataset: 0.00 eV/f.u.

```
11
Lattice="-2.355 -3.209 -1.157 7.207 -6.196 -4.913 4.278 -7.908 5.799" Properties=species:S:1:pos:R:3 pbc="T T T"
Ac -0.098 -5.388 0.292
Ac 4.651 -12.240 2.202
Ac 3.182 -9.465 4.922
Ac 3.246 -7.229 -1.410
Ac 6.452 -9.752 -0.937
Ac 8.642 -12.268 1.582
Ac 3.044 -5.912 2.774
In 6.558 -6.575 -2.537
In 4.120 -8.916 1.491
Au 7.239 -12.899 -1.237
Au 2.465 -4.078 -1.132
```

Entry 4:
Density functional theory data (GGA-PBE) for an optimized crystal structure of AcIn5Au2.

Output
V: 25.7 Å³ per atom
crystal system: orthorhombic
space group: No. 71
energy of formation: -267.7 kJ/mol of formula units

```
8
Lattice="-2.593 -2.236 -2.936 3.563 -0.422 -6.290 2.739 -6.653 -0.816" Properties=species:S:1:pos:R:3 pbc="T T T"
Ac 0.000 0.000 0.000
In 3.151 -3.538 -3.553
In 0.706 -2.776 -5.438
In 3.003 -6.536 -4.603
In 3.312 -4.194 -6.660
In 0.397 -5.118 -3.381
Au 2.949 -7.075 -7.610
Au 0.760 -2.237 -2.432
```

Entry 5:
Density functional theory data (GGA-PBE) for an optimized crystal structure of AcIn3Au8.

Output
V: 21.9 Å³ per atom
crystal system: trigonal
space group: No. 160
energy of formation: -311.6 kJ/mol of formula units

```
12
Lattice="5.662 0.000 0.000 2.831 4.903 0.000 2.831 1.634 9.447" Properties=species:S:1:pos:R:3 pbc="T T T"
Ac 8.492 4.903 3.501
In 5.662 3.269 8.399
In 2.831 1.634 9.333
In 5.662 3.269 5.062
Au 7.073 2.454 1.708
Au 7.070 5.724 6.479
Au 4.250 2.454 1.708
Au 9.914 5.724 6.479
Au 2.831 1.634 4.102
Au 8.492 4.903 8.809
Au 5.662 4.899 1.708
Au 8.492 3.261 6.479
```

Entry 6:
Density functional theory data (GGA-PBE) for an optimized crystal structure of Ac3In3Au8.

Output
V: 24.5 Å³ per atom
crystal system: orthorhombic
space group: No. 71
energy of formation: -840.2 kJ/mol of formula units

```
14
Lattice="4.818 0.000 0.000 2.409 8.728 0.407 2.409 2.768 8.288" Properties=species:S:1:pos:R:3 pbc="T T T"
Ac 4.818 5.748 4.348
Ac 4.818 2.425 1.834
Ac 4.818 9.072 6.861
In 2.409 0.000 0.000
In 2.409 7.540 1.979
In 2.409 3.957 6.716
Au 4.818 2.439 5.432
Au 4.818 9.057 3.263
Au 4.818 5.891 0.868
Au 4.818 5.606 7.827
Au 7.227 8.427 4.636
Au 2.409 3.070 4.059
Au 7.227 6.755 6.846
Au 2.409 4.742 1.849
```

Entry 7:
Density functional theory data (GGA-PBE) for an optimized crystal structure of AcIn3Au2.

Output
V: 25.9 Å³ per atom
crystal system: monoclinic
space group: No. 12
energy of formation: -277.5 kJ/mol of formula units
excess energy over the best structure of this formula in the dataset: 0.10 eV/f.u.

```
12
Lattice="-4.114 1.339 -1.334 -1.289 -3.430 8.215 2.911 8.454 -0.495" Properties=species:S:1:pos:R:3 pbc="T T T"
Ac -1.881 6.251 4.392
Ac -0.610 0.113 1.995
In -0.589 2.789 4.615
In -3.406 3.376 6.209
In -0.692 6.641 1.117
In -1.799 -0.278 5.270
In 0.915 2.987 0.177
In -1.902 3.575 1.772
Au -0.851 4.358 6.999
Au -1.640 2.005 -0.612
Au -3.147 1.640 3.668
Au 0.656 4.723 2.719
```

Entry 8:
Density functional theory data (GGA-PBE) for an optimized crystal structure of AcIn2Au2.

Output
V: 26.2 Å³ per atom
crystal system: orthorhombic
space group: No. 63
energy of formation: -261.8 kJ/mol of formula units
excess energy over the best structure of this formula in the dataset: 0.34 eV/f.u.

```
10
Lattice="-2.892 -4.147 0.094 -0.174 -0.110 -5.052 8.390 -5.854 -0.161" Properties=species:S:1:pos:R:3 pbc="T T T"
Ac -0.225 -4.689 -3.797
Ac 5.550 -5.422 -1.322
In 2.980 -6.570 -3.580
In 0.025 -1.922 -1.494
In 5.300 -8.189 -3.624
In 2.344 -3.540 -1.539
Au -0.731 -0.939 -3.996
Au 1.861 -6.245 -1.042
Au 3.463 -3.865 -4.076
Au -2.334 -3.318 -0.962
```

Entry 9:
Density functional theory data (GGA-PBE) for an optimized crystal structure of Ac2In3Au5.

Output
V: 25.2 Å³ per atom
crystal system: orthorhombic
space group: No. 72
energy of formation: -552.8 kJ/mol of formula units

```
20
Lattice="-2.554 -3.915 4.689 6.777 -3.345 5.573 -0.820 4.654 8.114" Properties=species:S:1:pos:R:3 pbc="T T T"
Ac 3.639 -1.854 5.108
Ac -1.135 -0.131 8.622
Ac -0.236 -0.752 13.268
Ac 4.538 -2.476 9.754
In 2.119 0.274 10.733
In 2.427 -3.353 12.547
In 1.284 -2.881 7.644
In 0.976 0.746 5.830
In -0.639 -0.979 1.172
In -1.916 -2.937 3.517
Au 0.036 1.956 11.002
Au 3.896 -5.411 11.628
Au 3.367 -4.562 7.374
Au -0.493 2.805 6.749
Au 3.466 -0.807 12.901
Au -0.063 -1.799 5.475
Au 1.063 -2.282 10.360
Au 2.340 -0.324 8.016
Au 1.214 0.158 3.131
Au 2.189 -2.765 15.245
```

Entry 10:
Density functional theory data (GGA-PBE) for an optimized crystal structure of Ac2In3Au6.

Output
V: 25.8 Å³ per atom
crystal system: orthorhombic
space group: No. 65
energy of formation: -521.1 kJ/mol of formula units

```
11
Lattice="-1.530 -0.525 -3.955 -3.206 -7.177 2.194 -7.163 3.120 2.358" Properties=species:S:1:pos:R:3 pbc="T T T"
Ac -5.969 0.014 2.308
Ac -4.399 -4.071 2.243
In -2.276 -0.890 0.999
In -8.093 -3.166 3.552
In -0.765 -0.263 -1.977
Au -4.735 -1.816 -0.235
Au -7.164 -2.766 0.832
Au -6.370 -6.330 0.998
Au -5.529 1.748 -0.401
Au -8.959 0.406 1.105
Au -2.940 -4.988 -0.508
```

Entry 11:
Density functional theory data (GGA-PBE) for an optimized crystal structure of Ac5In2Au2.

Output
V: 35.3 Å³ per atom
crystal system: orthorhombic
space group: No. 64
energy of formation: -422.1 kJ/mol of formula units

```
18
Lattice="8.150 0.000 0.000 0.000 9.121 0.000 0.000 -4.561 8.557" Properties=species:S:1:pos:R:3 pbc="T T T"
Ac 0.000 0.000 0.000
Ac 4.075 4.561 0.000
Ac 6.869 6.197 2.224
Ac 1.281 2.925 2.224
Ac 2.794 7.485 2.224
Ac 5.356 1.636 2.224
Ac 1.281 -1.636 6.333
Ac 6.869 1.636 6.333
Ac 5.356 -2.925 6.333
Ac 2.794 2.925 6.333
In 0.000 0.000 3.598
In 4.075 4.561 3.598
In 0.000 4.561 4.959
In 4.075 0.000 4.959
Au 5.144 7.983 0.000
Au 3.006 1.138 0.000
Au 1.069 5.699 0.000
Au 7.082 3.422 0.000
```

Entry 12:
Density functional theory data (GGA-PBE) for an optimized crystal structure of Ac2In5Au3.

Output
V: 26.3 Å³ per atom
crystal system: orthorhombic
space group: No. 72
energy of formation: -521.7 kJ/mol of formula units

```
20
Lattice="-1.637 -6.312 -1.442 4.438 -6.023 5.857 -7.077 -2.976 5.597" Properties=species:S:1:pos:R:3 pbc="T T T"
Ac 1.712 -4.928 4.162
Ac -4.916 -6.548 3.310
Ac -5.988 -10.383 5.850
Ac 0.640 -8.764 6.703
In -6.454 -6.859 6.420
In 1.124 -12.237 5.889
In 2.177 -8.452 3.592
In -5.401 -3.075 4.124
In -2.793 -9.891 7.802
In -1.484 -5.420 2.210
In -2.548 -9.234 4.646
In -1.729 -6.078 5.367
In -2.302 -8.576 1.489
In -1.974 -6.735 8.523
Au -3.849 -7.569 6.566
Au -1.495 -11.564 5.917
Au -0.428 -7.743 3.446
Au -2.782 -3.747 4.096
Au -0.409 -1.578 -0.361
Au -1.228 -4.734 -1.082
```